1.
A plane-wave DFT calculation with PBE was carried out for Cs2CdHg after structural relaxation.

Output
total DFT energy (no corrections): -0.805 eV/atom
excess energy over the best structure of this formula in the dataset: 7.62 kJ per mole of atoms
formation energy: -74 meV per atom

Cell lengths 6.597, 6.597, 6.597 Å; angles 60.00, 60.00, 60.00 degrees
Fractional coordinates of all 4 atoms:
Cs1 0.250 0.250 0.250
Cs2 0.750 0.750 0.750
Hg1 0.500 0.500 0.500
Cd1 0.000 0.000 0.000

=====

2.
A plane-wave DFT calculation with PBE was carried out for Tb2NdDy2 after structural relaxation.

Output
total DFT energy (no corrections): -4.561 eV/atom
excess energy over the best structure of this formula in the dataset: 0.00 kJ per mole of atoms
formation energy: 86 meV per atom

Cell lengths 9.407, 9.407, 3.733 Å; angles 90.00, 90.00, 90.00 degrees
Fractional coordinates of all 10 atoms:
Tb1 0.126 0.626 0.000
Tb2 0.626 0.874 0.000
Tb3 0.874 0.374 0.000
Tb4 0.374 0.126 0.000
Nd1 0.000 0.000 0.000
Nd2 0.500 0.500 0.000
Dy1 0.329 0.829 0.500
Dy2 0.829 0.671 0.500
Dy3 0.671 0.171 0.500
Dy4 0.171 0.329 0.500

=====

3.
A plane-wave DFT calculation with PBE was carried out for Sr2NbHCl after structural relaxation.

Output
total DFT energy (no corrections): -3.261 eV/atom

Cell lengths 6.039, 4.703, 6.039 Å; angles 90.00, 90.00, 90.00 degrees
Fractional coordinates of all 5 atoms:
Sr1 0.000 0.000 0.500
Sr2 0.500 0.000 0.000
Nb1 0.000 0.000 0.000
H1 0.500 0.500 0.500
Cl1 0.000 0.500 0.000

=====

4.
A plane-wave DFT calculation with PBE was carried out for HgSI3 after structural relaxation.

Output
ΔE_f (raw): -0.05 eV/atom
total DFT energy (no corrections): -1.864 eV/atom
excess energy over the best structure of this formula in the dataset: 0.00 kJ per mole of atoms

Cell lengths 5.016, 20.678, 8.865 Å; angles 32.60, 79.33, 70.84 degrees
Fractional coordinates of all 10 atoms:
Hg1 0.560 0.722 0.250
Hg2 0.440 0.278 0.750
S1 0.733 0.351 0.407
S2 0.267 0.649 0.593
I1 0.796 0.531 0.190
I2 0.158 0.215 0.130
I3 0.740 0.885 0.187
I4 0.204 0.469 0.810
I5 0.260 0.115 0.813
I6 0.842 0.785 0.870

=====

5.
A plane-wave DFT calculation with PBE was carried out for La2Al3Hg after structural relaxation.

Output
total DFT energy (no corrections): -4.028 eV/atom
formation energy: -464 meV per atom

Cell lengths 6.152, 6.152, 9.359 Å; angles 112.35, 112.35, 80.96 degrees
Fractional coordinates of all 12 atoms:
La1 0.750 0.250 0.500
La2 0.746 0.254 0.000
La3 0.250 0.750 0.500
La4 0.254 0.746 0.000
Al1 0.838 0.838 0.164
Al2 0.673 0.673 0.836
Al3 0.162 0.162 0.836
Al4 0.327 0.327 0.164
Al5 0.163 0.163 0.326
Al6 0.837 0.837 0.674
Hg1 0.667 0.667 0.335
Hg2 0.333 0.333 0.665

=====

6.
A plane-wave DFT calculation with PBE was carried out for H2RuPt2 after structural relaxation.

Output
total DFT energy (no corrections): -5.300 eV/atom
excess energy over the best structure of this formula in the dataset: 14.37 kJ per mole of atoms

Cell lengths 3.508, 3.508, 4.951 Å; angles 69.25, 69.25, 90.00 degrees
Last column: magnetic moment on the atom in μB.
Fractional coordinates of all 5 atoms:
Ru1 0.000 0.000 0.000  1.52
Pt1 0.341 0.341 0.319  0.14
Pt2 0.659 0.659 0.681  0.14
H1 0.750 0.250 0.500  0.00
H2 0.250 0.750 0.500  0.00

=====

7.
A plane-wave DFT calculation with PBE was carried out for La8Co3PdBr4 after structural relaxation.

Output
ΔE_f (raw): -0.90 eV/atom
total DFT energy (no corrections): -5.438 eV/atom

Cell lengths 8.201, 9.215, 8.291 Å; angles 116.60, 119.64, 90.00 degrees
Fractional coordinates of all 16 atoms:
La1 0.243 0.694 0.960
La2 0.239 0.692 0.479
La3 0.265 0.306 0.531
La4 0.717 0.694 0.960
La5 0.283 0.306 0.040
La6 0.735 0.694 0.469
La7 0.761 0.308 0.521
La8 0.757 0.306 0.040
Co1 0.500 0.500 0.000
Co2 0.500 0.500 0.500
Co3 0.000 0.500 0.500
Pd1 0.000 0.500 0.000
Br1 0.500 0.000 0.000
Br2 0.500 0.000 0.500
Br3 0.000 0.000 0.000
Br4 0.000 0.000 0.500

=====

8.
A plane-wave DFT calculation with PBE was carried out for MnZnAs2Se after structural relaxation.

Output
ΔE_f (raw): 0.35 eV/atom
total DFT energy (no corrections): -4.294 eV/atom
excess energy over the best structure of this formula in the dataset: 0.00 kJ per mole of atoms

Cell lengths 4.475, 4.475, 5.298 Å; angles 90.00, 90.00, 90.00 degrees
Last column: magnetic moment on the atom in μB.
Fractional coordinates of all 5 atoms:
As1 0.000 0.500 0.000  -0.12
As2 0.500 0.000 0.000  -0.12
Mn1 0.000 0.000 0.000  1.61
Zn1 0.500 0.500 0.500  -0.04
Se1 0.000 0.000 0.500  -0.04

=====

9.
A plane-wave DFT calculation with PBE was carried out for YThCuAu after structural relaxation.

Output
total DFT energy (no corrections): -5.710 eV/atom
excess energy over the best structure of this formula in the dataset: 6.02 kJ per mole of atoms
formation energy: -395 meV per atom

Cell lengths 5.120, 5.120, 5.120 Å; angles 60.00, 60.00, 60.00 degrees
Fractional coordinates of all 4 atoms:
Y1 0.750 0.750 0.750
Au1 0.500 0.500 0.500
Cu1 0.000 0.000 0.000
Th1 0.250 0.250 0.250

=====

10.
A plane-wave DFT calculation with PBE was carried out for Ce5SmN4 after structural relaxation.

Output
ΔE_f (raw): -0.65 eV/atom
total DFT energy (no corrections): -7.419 eV/atom

Cell lengths 3.397, 9.195, 9.195 Å; angles 51.19, 79.35, 79.35 degrees
Last column: magnetic moment on the atom in μB.
Fractional coordinates of all 10 atoms:
Ce1 0.600 0.360 0.940  0.92
Ce2 0.900 0.060 0.640  0.92
Ce3 0.750 0.500 0.500  0.26
Ce4 0.600 0.940 0.360  0.92
Ce5 0.900 0.640 0.060  0.92
Sm1 0.250 0.000 0.000  -0.01
N1 0.250 0.299 0.701  -0.01
N2 0.092 0.158 0.158  -0.06
N3 0.408 0.842 0.842  -0.06
N4 0.250 0.701 0.299  -0.01

=====

11.
A plane-wave DFT calculation with PBE was carried out for HfP2PtS after structural relaxation.

Output
ΔE_f (raw): 0.44 eV/atom
total DFT energy (no corrections): -5.751 eV/atom
excess energy over the best structure of this formula in the dataset: 0.00 kJ per mole of atoms

Cell lengths 4.616, 4.616, 4.697 Å; angles 90.00, 90.00, 90.00 degrees
Fractional coordinates of all 5 atoms:
P1 0.000 0.500 0.000
P2 0.500 0.000 0.000
S1 0.000 0.000 0.500
Hf1 0.500 0.500 0.500
Pt1 0.000 0.000 0.000

=====

12.
A plane-wave DFT calculation with PBE was carried out for Te3Os after structural relaxation.

Output
ΔE_f (raw): 1.13 eV/atom
total DFT energy (no corrections): -4.029 eV/atom

Cell lengths 4.510, 4.510, 4.510 Å; angles 90.00, 90.00, 90.00 degrees
Fractional coordinates of all 4 atoms:
Os1 0.000 0.000 0.000
Te1 0.000 0.500 0.500
Te2 0.500 0.000 0.500
Te3 0.500 0.500 0.000